Below is crystalline YHo2PaAs4 at its relaxed geometry, with properties calculated at the GGA-PBE level.

a = 7.0907 Å, b = 4.1069 Å, c = 7.0946 Å
α = 90.00°, β = 109.48°, γ = 90.00°
Last column: nearest neighbours and their distance in Å.
Space group P2/m (No. 10)
One atom of each set of equivalent atoms:
Y: 0.0000 0.0000 0.0000 [1 per cell]  6 As 2.90-2.91
Ho: 0.5000 0.0000 0.5000 [1 per cell]  6 As 2.89
Ho: 0.5000 0.5000 0.0000 [1 per cell]  6 As 2.91-2.92
Pa: 0.0000 0.5000 0.5000 [1 per cell]  6 As 2.87-2.89
As: 0.2493 0.5000 0.2533 [2 per cell]  1 Pa 2.87, 3 Ho 2.89-2.92, 2 Y 2.91
As: 0.2496 0.0000 0.7484 [2 per cell]  3 Ho 2.89-2.91, 2 Pa 2.89, 1 Y 2.90

## Properties
VASP energy: -6.88 eV per atom
Spin magnetization: 0.13 μB per formula unit
ΔH_f (0 K): -1.42 eV/atom